1.
First-principles (PBE-GGA) data for a geometry-optimized Ta2P2Pt structure, as listed in Alexandria via LeMat-Bulk.

extended XYZ file:
```
10
Lattice="-2.054 5.421 3.735 -6.149 -0.183 -3.117 -1.100 -1.993 2.288" Properties=species:S:1:pos:R:3 pbc="T T T"
P -2.238 3.484 1.959
P -5.733 4.503 1.165
P -5.966 1.755 -1.341
P -2.470 0.736 -0.547
Pt -4.102 2.619 0.309
Pt 0.000 0.000 0.000
Ta -4.834 -0.316 -0.323
Ta -7.123 2.358 0.905
Ta -2.181 0.888 2.001
Ta -4.470 3.561 3.229
```

Output
V = 15.349 Å³ per atom
DOS(E_F) = 0.45 states/eV per atom
calculated formation energy = -2.54 eV/f.u.
SG = No. 127
magnetic moment = 0.00 μB/f.u.
calculated total energy = -0.31685 Ha/atom

***

2.
First-principles (PBE-GGA) data for a geometry-optimized CaNbP2O structure, as listed in Alexandria via LeMat-Bulk.

extended XYZ file:
```
5
Lattice="5.042 0.000 0.000 0.000 5.042 0.000 0.000 0.000 4.017" Properties=species:S:1:pos:R:3 pbc="T T T"
Nb 2.521 2.521 2.008
P 0.000 2.521 0.000
P 2.521 0.000 0.000
O 0.000 0.000 2.008
Ca 0.000 0.000 0.000
```

Output
V = 20.426 Å³ per atom
E_form (uncorrected) = 0.67 eV/atom
DOS(E_F) = 0.98 states/eV per atom
SG = No. 123
magnetic moment = 0.23 μB/f.u.
calculated total energy = -0.17996 Ha/atom

***

3.
First-principles (PBE-GGA) data for a geometry-optimized YTcPt2 structure, as listed in Alexandria via LeMat-Bulk.

extended XYZ file:
```
4
Lattice="-0.047 -2.919 -0.056 1.492 0.024 -2.510 7.021 -0.194 4.173" Properties=species:S:1:pos:R:3 pbc="T T T"
Tc 2.478 -1.496 -0.239
Pt 0.167 -0.005 0.099
Pt 3.344 -0.092 1.987
Y 5.989 -1.593 1.847
```

Output
V = 17.414 Å³ per atom
DOS(E_F) = 0.87 states/eV per atom
calculated formation energy = -1.35 eV/f.u.
SG = No. 123
magnetic moment = 0.00 μB/f.u.
calculated total energy = -0.27800 Ha/atom

***

4.
First-principles (PBE-GGA) data for a geometry-optimized Ac5CeP6 structure, as listed in Alexandria via LeMat-Bulk.

extended XYZ file:
```
12
Lattice="-5.763 -1.770 -4.637 -6.214 -1.491 4.128 -4.824 5.608 1.773" Properties=species:S:1:pos:R:3 pbc="T T T"
P -6.413 0.334 -2.613
P -10.138 1.873 -0.653
P -2.883 -0.785 -0.136
P -6.664 0.474 1.918
P -9.094 -2.475 -0.373
P -10.388 2.013 3.877
Ac -7.130 2.593 -0.448
Ac -5.989 -1.630 -0.255
Ac -9.671 -0.246 1.712
Ac -7.360 2.750 3.934
Ac -3.678 1.367 1.967
Ce 0.000 0.000 0.000
```

Output
V = 29.943 Å³ per atom
DOS(E_F) = 0.47 states/eV per atom
calculated formation energy = -17.47 eV/f.u.
SG = No. 12
magnetic moment = 0.57 μB/f.u.
calculated total energy = -0.23399 Ha/atom

***

5.
First-principles (PBE-GGA) data for a geometry-optimized YCo2Si4 structure, as listed in Alexandria via LeMat-Bulk.

extended XYZ file:
```
28
Lattice="3.921 0.000 0.000 0.000 6.208 0.000 0.000 0.000 16.224" Properties=species:S:1:pos:R:3 pbc="T T T"
Y 0.980 3.179 13.941
Y 2.941 3.029 2.283
Y 2.941 0.075 10.395
Y 0.980 6.133 5.829
Si 0.980 2.253 0.437
Si 0.980 2.936 7.034
Si 0.980 1.802 11.367
Si 0.980 0.168 15.146
Si 2.941 3.955 15.788
Si 0.980 5.045 2.941
Si 2.941 4.406 4.858
Si 2.941 3.272 9.191
Si 2.941 1.163 13.283
Si 2.941 1.941 5.171
Si 2.941 4.906 12.970
Si 0.980 0.851 8.549
Si 0.980 1.302 3.254
Si 2.941 5.357 7.676
Si 2.941 6.040 1.079
Si 0.980 4.267 11.053
Co 2.941 3.034 11.551
Co 2.941 0.070 3.439
Co 0.980 4.634 8.670
Co 0.980 6.138 12.786
Co 0.980 3.174 4.673
Co 2.941 1.530 15.667
Co 2.941 1.574 7.555
Co 0.980 4.678 0.557
```

Output
V = 14.105 Å³ per atom
E_form (uncorrected) = -0.60 eV/atom
DOS(E_F) = 0.26 states/eV per atom
SG = No. 62
magnetic moment = 0.00 μB/f.u.
calculated total energy = -0.24457 Ha/atom

***

6.
First-principles (PBE-GGA) data for a geometry-optimized Ba3Ga8Pd3 structure, as listed in Alexandria via LeMat-Bulk.

extended XYZ file:
```
14
Lattice="4.546 0.000 1.199 1.438 7.774 3.767 0.088 0.072 8.884" Properties=species:S:1:pos:R:3 pbc="T T T"
Ga 1.633 0.170 3.026
Ga 5.198 6.558 7.946
Ga 3.287 5.192 5.974
Ga 1.469 4.417 3.649
Ga 2.785 2.654 7.876
Ga 4.439 7.676 10.824
Ga 0.874 1.288 5.904
Ga 4.603 3.430 10.201
Ba 3.663 2.179 4.547
Ba 0.000 0.000 0.000
Ba 2.409 5.668 9.303
Pd 3.963 5.360 3.411
Pd 0.763 3.923 6.325
Pd 2.109 2.486 10.439
```

Output
V = 22.288 Å³ per atom
DOS(E_F) = 0.39 states/eV per atom
calculated formation energy = -6.73 eV/f.u.
SG = No. 12
magnetic moment = 0.00 μB/f.u.
calculated total energy = -0.13725 Ha/atom

***

7.
First-principles (PBE-GGA) data for a geometry-optimized HfMnP2Cl structure, as listed in Alexandria via LeMat-Bulk.

extended XYZ file:
```
5
Lattice="4.575 0.000 0.000 0.000 4.575 0.000 0.000 0.000 4.392" Properties=species:S:1:pos:R:3 pbc="T T T"
P 0.000 2.288 0.000
P 2.288 0.000 0.000
Mn 0.000 0.000 0.000
Cl 0.000 0.000 2.196
Hf 2.288 2.288 2.196
```

Output
V = 18.390 Å³ per atom
E_form (uncorrected) = 0.18 eV/atom
DOS(E_F) = 0.58 states/eV per atom
SG = No. 123
magnetic moment = 3.30 μB/f.u.
calculated total energy = -0.22686 Ha/atom

***

8.
First-principles (PBE-GGA) data for a geometry-optimized BaHgSe2 structure, as listed in Alexandria via LeMat-Bulk.

extended XYZ file:
```
16
Lattice="23.918 0.000 2.776 0.000 5.355 0.000 -7.943 0.000 3.434" Properties=species:S:1:pos:R:3 pbc="T T T"
Se 16.396 3.776 4.870
Se 12.502 3.932 3.063
Se 7.567 1.099 4.444
Se -0.421 1.579 1.340
Se 8.408 4.256 1.765
Se -3.429 4.100 3.392
Se 3.473 1.423 3.147
Se 19.404 1.255 2.818
Hg 1.112 2.596 3.294
Hg 14.863 2.759 2.916
Hg 17.042 0.081 2.965
Hg -1.068 5.274 3.245
Ba 10.654 1.275 3.006
Ba -5.276 1.402 3.335
Ba 5.321 4.080 3.204
Ba 21.251 3.953 2.875
```

Output
V = 34.867 Å³ per atom
E_form (uncorrected) = -1.07 eV/atom
DOS(E_F) = 0.00 states/eV per atom
SG = No. 14
magnetic moment = 0.00 μB/f.u.
calculated total energy = -0.12396 Ha/atom

***

9.
First-principles (PBE-GGA) data for a geometry-optimized Er2Cu17 structure, as listed in Alexandria via LeMat-Bulk.

extended XYZ file:
```
19
Lattice="6.442 -0.049 -0.043 0.865 6.384 -0.043 0.865 0.750 6.339" Properties=species:S:1:pos:R:3 pbc="T T T"
Cu 3.264 5.639 2.146
Cu 4.784 0.188 1.854
Cu 4.907 4.254 0.924
Cu 2.522 0.512 4.443
Cu 2.126 4.653 4.107
Cu 2.522 4.472 -0.043
Cu 0.804 0.697 0.615
Cu 0.865 2.424 4.443
Cu 3.264 2.830 5.329
Cu 6.045 2.431 2.146
Cu 0.432 3.192 -0.022
Cu 7.367 6.387 5.637
Cu 0.865 4.709 1.854
Cu 3.221 -0.025 -0.022
Cu 0.432 0.375 3.170
Cu 4.907 1.445 4.107
Cu 4.784 1.863 -0.043
Er 2.784 2.414 2.130
Er 5.387 4.670 4.122
```

Output
V = 13.756 Å³ per atom
DOS(E_F) = 0.41 states/eV per atom
calculated formation energy = -2.34 eV/f.u.
SG = No. 166
magnetic moment = 0.00 μB/f.u.
calculated total energy = -0.15686 Ha/atom

***

10.
First-principles (PBE-GGA) data for a geometry-optimized YGe3Bi structure, as listed in Alexandria via LeMat-Bulk.

extended XYZ file:
```
5
Lattice="-2.587 4.529 1.406 -4.434 -1.741 -2.548 -1.683 -2.374 4.551" Properties=species:S:1:pos:R:3 pbc="T T T"
Y 0.000 0.000 0.000
Ge -2.217 -0.871 -1.274
Ge -1.293 2.265 0.703
Ge -0.842 -1.187 2.275
Bi -4.352 0.207 1.704
```

Output
V = 31.529 Å³ per atom
DOS(E_F) = 0.87 states/eV per atom
calculated formation energy = 3.25 eV/f.u.
SG = No. 221
magnetic moment = 0.00 μB/f.u.
calculated total energy = -0.15393 Ha/atom

***

11.
First-principles (PBE-GGA) data for a geometry-optimized PmHoTm2Tl4 structure, as listed in Alexandria via LeMat-Bulk.

extended XYZ file:
```
8
Lattice="-1.990 -4.506 -2.117 -2.374 -3.625 3.158 -9.192 1.286 -0.884" Properties=species:S:1:pos:R:3 pbc="T T T"
Pm 0.000 0.000 0.000
Tl -9.647 -1.941 -0.378
Tl -3.910 -4.904 0.535
Tl -7.296 -6.616 0.574
Tl -6.260 -0.228 -0.418
Tm -10.154 -5.140 0.120
Tm -3.402 -1.704 0.037
Ho -6.778 -3.422 0.078
```

Output
V = 27.367 Å³ per atom
DOS(E_F) = 0.81 states/eV per atom
calculated formation energy = -2.58 eV/f.u.
SG = No. 166
magnetic moment = 0.00 μB/f.u.
calculated total energy = -0.13925 Ha/atom

***

12.
First-principles (PBE-GGA) data for a geometry-optimized RbYAs2 structure, as listed in Alexandria via LeMat-Bulk.

extended XYZ file:
```
8
Lattice="5.976 0.000 0.000 0.000 5.976 0.000 2.988 2.988 9.043" Properties=species:S:1:pos:R:3 pbc="T T T"
Y 0.000 0.000 0.000
Y 5.976 2.988 4.522
As 6.352 4.482 2.261
As 7.470 2.612 6.782
As 4.482 3.364 6.782
As 5.601 1.494 2.261
Rb 2.988 5.976 4.522
Rb 2.988 2.988 0.000
```

Output
V = 40.373 Å³ per atom
DOS(E_F) = 0.05 states/eV per atom
calculated formation energy = -1.91 eV/f.u.
SG = No. 122
magnetic moment = 0.00 μB/f.u.
calculated total energy = -0.17124 Ha/atom